[1]
{
  "formula": "Li3DyNp4S8",
  "functional": "PBE",
  "state": "optimized geometry",
  "lattice_angstrom": [[6.6778, -3.9033, 0.0000], [6.6778, 3.9033, 0.0000], [-4.3938, 0.0000, 6.3678]],
  "species": ["Li", "Li", "Li", "Dy", "Np", "Np", "Np", "Np", "S", "S", "S", "S", "S", "S", "S", "S"],
  "fractional_positions": [[0.0000, 0.0000, 0.0000], [0.0000, 0.5000, 0.5000], [0.5000, 0.0000, 0.5000], [0.5000, 0.5000, 0.0000], [0.0000, 0.0000, 0.5000], [0.0000, 0.5000, 0.0000], [0.5000, 0.0000, 0.0000], [0.5000, 0.5000, 0.5000], [0.2444, 0.7496, 0.7514], [0.2481, 0.2481, 0.2508], [0.2499, 0.2499, 0.7456], [0.2504, 0.7556, 0.2486], [0.7496, 0.2444, 0.7514], [0.7501, 0.7501, 0.2544], [0.7519, 0.7519, 0.7492], [0.7556, 0.2504, 0.2486]]
}



[2]
{
  "formula": "LiDy2NpS6",
  "functional": "PBE",
  "state": "optimized geometry",
  "lattice_angstrom": [[3.3949, 1.9601, 6.0784], [-3.3949, 1.9601, 6.0784], [0.0000, -3.9201, 6.0784]],
  "species": ["Li", "Dy", "Dy", "Np", "S", "S", "S", "S", "S", "S"],
  "fractional_positions": [[0.0000, 0.0000, 0.0000], [0.2897, 0.2897, 0.2897], [0.7985, 0.7985, 0.7985], [0.4880, 0.4880, 0.4880], [0.1022, 0.3918, 0.6964], [0.2190, 0.8694, 0.6029], [0.3918, 0.6964, 0.1022], [0.6029, 0.2190, 0.8694], [0.6964, 0.1022, 0.3918], [0.8694, 0.6029, 0.2190]]
}



[3]
{
  "formula": "Li4Dy3NpSe8",
  "functional": "PBE",
  "state": "optimized geometry",
  "lattice_angstrom": [[4.0844, 2.3581, 6.5036], [-4.0844, 2.3581, 6.5036], [0.0000, -4.7162, 6.5036]],
  "species": ["Li", "Li", "Li", "Li", "Dy", "Dy", "Dy", "Np", "Se", "Se", "Se", "Se", "Se", "Se", "Se", "Se"],
  "fractional_positions": [[0.0000, 0.0000, 0.0000], [0.0000, 0.5000, 0.5000], [0.5000, 0.0000, 0.5000], [0.5000, 0.5000, 0.0000], [0.0000, 0.0000, 0.5000], [0.0000, 0.5000, 0.0000], [0.5000, 0.0000, 0.0000], [0.5000, 0.5000, 0.5000], [0.2469, 0.2469, 0.7518], [0.2469, 0.7518, 0.2469], [0.2482, 0.7531, 0.7531], [0.2511, 0.2511, 0.2511], [0.7489, 0.7489, 0.7489], [0.7518, 0.2469, 0.2469], [0.7531, 0.2482, 0.7531], [0.7531, 0.7531, 0.2482]]
}



[4]
{
  "formula": "LiDyNp2Se4",
  "functional": "PBE",
  "state": "optimized geometry",
  "lattice_angstrom": [[7.0403, 0.0000, 0.0000], [0.0000, 4.0755, 0.0000], [-2.3575, 0.0000, 6.6611]],
  "species": ["Li", "Dy", "Np", "Np", "Se", "Se", "Se", "Se"],
  "fractional_positions": [[0.0000, 0.0000, 0.0000], [0.5000, 0.5000, 0.0000], [0.0000, 0.5000, 0.5000], [0.5000, 0.0000, 0.5000], [0.2430, 0.5000, 0.2402], [0.2468, 0.0000, 0.7575], [0.7532, 0.0000, 0.2425], [0.7570, 0.5000, 0.7598]]
}



[5]
{
  "formula": "Li2Dy3NpSe6",
  "functional": "PBE",
  "state": "optimized geometry",
  "lattice_angstrom": [[8.8530, -2.0301, 0.0000], [8.8530, 2.0301, 0.0000], [-1.8571, 0.0000, 7.9127]],
  "species": ["Li", "Li", "Dy", "Dy", "Dy", "Np", "Se", "Se", "Se", "Se", "Se", "Se"],
  "fractional_positions": [[0.1760, 0.1760, 0.3532], [0.8240, 0.8240, 0.6468], [0.1661, 0.1661, 0.8333], [0.5000, 0.5000, 0.5000], [0.8339, 0.8339, 0.1667], [0.5000, 0.5000, 0.0000], [0.0033, 0.0033, 0.2544], [0.3314, 0.3314, 0.9098], [0.3329, 0.3329, 0.4175], [0.6671, 0.6671, 0.5825], [0.6686, 0.6686, 0.0902], [0.9967, 0.9967, 0.7456]]
}



[6]
{
  "formula": "Li2DyNpSe4",
  "functional": "PBE",
  "state": "optimized geometry",
  "lattice_angstrom": [[6.9127, 0.0000, 0.0000], [0.0000, 4.0895, 0.0000], [-2.4484, 0.0000, 6.6661]],
  "species": ["Li", "Li", "Dy", "Np", "Se", "Se", "Se", "Se"],
  "fractional_positions": [[0.0000, 0.0000, 0.0000], [0.0000, 0.5000, 0.5000], [0.5000, 0.0000, 0.5000], [0.5000, 0.5000, 0.0000], [0.2453, 0.0000, 0.7456], [0.2449, 0.5000, 0.2514], [0.7547, 0.0000, 0.2544], [0.7551, 0.5000, 0.7486]]
}



[7]
{
  "formula": "LiDy2Np3Se6",
  "functional": "PBE",
  "state": "optimized geometry",
  "lattice_angstrom": [[8.8903, -2.0368, 0.0000], [8.8903, 2.0368, 0.0000], [-1.8894, 0.0000, 7.9380]],
  "species": ["Li", "Dy", "Dy", "Np", "Np", "Np", "Se", "Se", "Se", "Se", "Se", "Se"],
  "fractional_positions": [[0.0000, 0.0000, 0.0000], [0.3339, 0.3339, 0.6658], [0.6661, 0.6661, 0.3342], [0.0000, 0.0000, 0.5000], [0.3323, 0.3323, 0.1646], [0.6677, 0.6677, 0.8354], [0.1619, 0.1619, 0.0843], [0.1671, 0.1671, 0.5833], [0.5003, 0.5003, 0.2418], [0.4997, 0.4997, 0.7582], [0.8329, 0.8329, 0.4167], [0.8381, 0.8381, 0.9157]]
}



[8]
{
  "formula": "Li3DyNp2Se6",
  "functional": "PBE",
  "state": "optimized geometry",
  "lattice_angstrom": [[3.5419, -6.1342, 0.0000], [3.5419, 6.1342, 0.0000], [-2.3607, 0.0000, 6.4887]],
  "species": ["Li", "Li", "Li", "Dy", "Np", "Np", "Se", "Se", "Se", "Se", "Se", "Se"],
  "fractional_positions": [[0.0000, 0.0000, 0.0000], [0.3349, 0.6651, 0.0000], [0.6651, 0.3349, 0.0000], [0.5000, 0.5000, 0.5000], [0.1668, 0.8332, 0.5000], [0.8332, 0.1668, 0.5000], [0.0828, 0.4148, 0.2445], [0.2533, 0.2533, 0.7556], [0.4148, 0.0828, 0.2445], [0.5852, 0.9172, 0.7555], [0.7467, 0.7467, 0.2444], [0.9172, 0.5852, 0.7555]]
}



[9]
{
  "formula": "LiDyNp2Te5",
  "functional": "PBE",
  "state": "optimized geometry",
  "lattice_angstrom": [[2.1699, -9.2612, 0.0000], [2.1699, 9.2612, 0.0000], [0.0000, 0.0000, 13.0816]],
  "species": ["Li", "Li", "Dy", "Dy", "Np", "Np", "Np", "Np", "Te", "Te", "Te", "Te", "Te", "Te", "Te", "Te", "Te", "Te"],
  "fractional_positions": [[0.0595, 0.9405, 0.5000], [0.9405, 0.0595, 0.0000], [0.3011, 0.6989, 0.0503], [0.6989, 0.3011, 0.5503], [0.3760, 0.6240, 0.3450], [0.3918, 0.6082, 0.7221], [0.6082, 0.3918, 0.2221], [0.6240, 0.3760, 0.8450], [0.0013, 0.9987, 0.8177], [0.1357, 0.8643, 0.0402], [0.1894, 0.8106, 0.3840], [0.2145, 0.7855, 0.7132], [0.4540, 0.5460, 0.1123], [0.5460, 0.4540, 0.6123], [0.7855, 0.2145, 0.2132], [0.8106, 0.1894, 0.8840], [0.8643, 0.1357, 0.5402], [0.9987, 0.0013, 0.3177]]
}



[10]
{
  "formula": "Li3DyNp2Te6",
  "functional": "PBE",
  "state": "optimized geometry",
  "lattice_angstrom": [[3.7857, -6.5567, 0.0000], [3.7857, 6.5567, 0.0000], [-2.5216, 0.0000, 7.0485]],
  "species": ["Li", "Li", "Li", "Dy", "Np", "Np", "Te", "Te", "Te", "Te", "Te", "Te"],
  "fractional_positions": [[0.0000, 0.0000, 0.0000], [0.3340, 0.6660, 0.0000], [0.6660, 0.3340, 0.0000], [0.5000, 0.5000, 0.5000], [0.1668, 0.8332, 0.5000], [0.8332, 0.1668, 0.5000], [0.0834, 0.4140, 0.2422], [0.2550, 0.2550, 0.7575], [0.4140, 0.0834, 0.2422], [0.5860, 0.9166, 0.7578], [0.7450, 0.7450, 0.2425], [0.9166, 0.5860, 0.7578]]
}



[11]
{
  "formula": "Li2DyNpTe4",
  "functional": "PBE",
  "state": "optimized geometry",
  "lattice_angstrom": [[7.4819, 0.0000, 0.0000], [0.0000, 4.3659, 0.0000], [-2.5792, 0.0000, 7.1362]],
  "species": ["Li", "Li", "Dy", "Np", "Te", "Te", "Te", "Te"],
  "fractional_positions": [[0.0000, 0.0000, 0.0000], [0.0000, 0.5000, 0.5000], [0.5000, 0.0000, 0.5000], [0.5000, 0.5000, 0.0000], [0.2430, 0.0000, 0.7441], [0.2432, 0.5000, 0.2514], [0.7570, 0.0000, 0.2559], [0.7568, 0.5000, 0.7486]]
}



[12]
{
  "formula": "Li4DyNp3Te8",
  "functional": "PBE",
  "state": "optimized geometry",
  "lattice_angstrom": [[4.3760, 2.5265, 7.0331], [-4.3760, 2.5265, 7.0331], [0.0000, -5.0529, 7.0331]],
  "species": ["Li", "Li", "Li", "Li", "Dy", "Np", "Np", "Np", "Te", "Te", "Te", "Te", "Te", "Te", "Te", "Te"],
  "fractional_positions": [[0.0000, 0.0000, 0.0000], [0.0000, 0.5000, 0.5000], [0.5000, 0.0000, 0.5000], [0.5000, 0.5000, 0.0000], [0.5000, 0.5000, 0.5000], [0.0000, 0.0000, 0.5000], [0.0000, 0.5000, 0.0000], [0.5000, 0.0000, 0.0000], [0.2490, 0.2490, 0.7443], [0.2490, 0.7443, 0.2490], [0.2524, 0.2524, 0.2524], [0.2557, 0.7510, 0.7510], [0.7443, 0.2490, 0.2490], [0.7476, 0.7476, 0.7476], [0.7510, 0.2557, 0.7510], [0.7510, 0.7510, 0.2557]]
}



[13]
{
  "formula": "Li3Dy3NpTe8",
  "functional": "PBE",
  "state": "optimized geometry",
  "lattice_angstrom": [[4.3486, 2.5107, 7.0641], [-4.3486, 2.5107, 7.0641], [0.0000, -5.0213, 7.0641]],
  "species": ["Li", "Li", "Li", "Dy", "Dy", "Dy", "Np", "Te", "Te", "Te", "Te", "Te", "Te", "Te", "Te"],
  "fractional_positions": [[0.0000, 0.5000, 0.5000], [0.5000, 0.0000, 0.5000], [0.5000, 0.5000, 0.0000], [0.0000, 0.0000, 0.5000], [0.0000, 0.5000, 0.0000], [0.5000, 0.0000, 0.0000], [0.5000, 0.5000, 0.5000], [0.2497, 0.2497, 0.7482], [0.2497, 0.7482, 0.2497], [0.2518, 0.2518, 0.2518], [0.2518, 0.7503, 0.7503], [0.7482, 0.2497, 0.2497], [0.7482, 0.7482, 0.7482], [0.7503, 0.2518, 0.7503], [0.7503, 0.7503, 0.2518]]
}



[14]
{
  "formula": "LiDy3Np3Te8",
  "functional": "PBE",
  "state": "optimized geometry",
  "lattice_angstrom": [[4.3541, 2.5139, 7.1360], [-4.3541, 2.5139, 7.1360], [0.0000, -5.0277, 7.1360]],
  "species": ["Li", "Dy", "Dy", "Dy", "Np", "Np", "Np", "Te", "Te", "Te", "Te", "Te", "Te", "Te", "Te"],
  "fractional_positions": [[0.0000, 0.0000, 0.0000], [0.0000, 0.0000, 0.5000], [0.0000, 0.5000, 0.0000], [0.5000, 0.0000, 0.0000], [0.0000, 0.5000, 0.5000], [0.5000, 0.0000, 0.5000], [0.5000, 0.5000, 0.0000], [0.2473, 0.7504, 0.7504], [0.2490, 0.2490, 0.2490], [0.2496, 0.2496, 0.7527], [0.2496, 0.7527, 0.2496], [0.7504, 0.2473, 0.7504], [0.7504, 0.7504, 0.2473], [0.7510, 0.7510, 0.7510], [0.7527, 0.2496, 0.2496]]
}



[15]
{
  "formula": "Li4Dy3NpTe8",
  "functional": "PBE",
  "state": "optimized geometry",
  "lattice_angstrom": [[4.3583, 2.5162, 7.0594], [-4.3583, 2.5162, 7.0594], [0.0000, -5.0325, 7.0594]],
  "species": ["Li", "Li", "Li", "Li", "Dy", "Dy", "Dy", "Np", "Te", "Te", "Te", "Te", "Te", "Te", "Te", "Te"],
  "fractional_positions": [[0.0000, 0.0000, 0.0000], [0.0000, 0.5000, 0.5000], [0.5000, 0.0000, 0.5000], [0.5000, 0.5000, 0.0000], [0.0000, 0.0000, 0.5000], [0.0000, 0.5000, 0.0000], [0.5000, 0.0000, 0.0000], [0.5000, 0.5000, 0.5000], [0.2460, 0.2460, 0.7515], [0.2460, 0.7515, 0.2460], [0.2485, 0.7540, 0.7540], [0.2517, 0.2517, 0.2517], [0.7483, 0.7483, 0.7483], [0.7515, 0.2460, 0.2460], [0.7540, 0.2485, 0.7540], [0.7540, 0.7540, 0.2485]]
}



[16]
{
  "formula": "LiDyNpTe3",
  "functional": "PBE",
  "state": "optimized geometry",
  "lattice_angstrom": [[8.9385, 0.0000, 0.0000], [0.0000, 4.2601, 0.0000], [-2.2423, 0.0000, 9.2226]],
  "species": ["Li", "Li", "Dy", "Dy", "Np", "Np", "Te", "Te", "Te", "Te", "Te", "Te"],
  "fractional_positions": [[0.0850, 0.2500, 0.0821], [0.9150, 0.7500, 0.9179], [0.3307, 0.7500, 0.3371], [0.6693, 0.2500, 0.6629], [0.1820, 0.2500, 0.7267], [0.8180, 0.7500, 0.2733], [0.0925, 0.2500, 0.3713], [0.2344, 0.7500, 0.9985], [0.4275, 0.7500, 0.6733], [0.5725, 0.2500, 0.3267], [0.7656, 0.2500, 0.0015], [0.9075, 0.7500, 0.6287]]
}



[17]
{
  "formula": "LiDyO2",
  "functional": "PBE",
  "state": "optimized geometry",
  "lattice_angstrom": [[6.2678, 0.0000, 0.0000], [0.0000, 6.1565, 0.0000], [-3.1703, 0.0000, 5.5103]],
  "species": ["Li", "Li", "Li", "Li", "Dy", "Dy", "Dy", "Dy", "O", "O", "O", "O", "O", "O", "O", "O"],
  "fractional_positions": [[0.2045, 0.1572, 0.4298], [0.2045, 0.3428, 0.9298], [0.7955, 0.6572, 0.0702], [0.7955, 0.8428, 0.5702], [0.2687, 0.6312, 0.5243], [0.2687, 0.8688, 0.0243], [0.7313, 0.1312, 0.9757], [0.7313, 0.3688, 0.4757], [0.0491, 0.6080, 0.7357], [0.0491, 0.8920, 0.2357], [0.4875, 0.1746, 0.1486], [0.4875, 0.3254, 0.6486], [0.5125, 0.6746, 0.3514], [0.5125, 0.8254, 0.8514], [0.9509, 0.1080, 0.7643], [0.9509, 0.3920, 0.2643]]
}



[18]
{
  "formula": "LiDyO",
  "functional": "PBE",
  "state": "optimized geometry",
  "lattice_angstrom": [[3.6340, 0.0000, 0.0000], [-1.8170, 3.1471, 0.0000], [0.0000, 0.0000, 5.9704]],
  "species": ["Li", "Dy", "O"],
  "fractional_positions": [[0.0000, 0.0000, 0.0000], [0.6667, 0.3333, 0.4691], [0.3333, 0.6667, 0.5698]]
}



[19]
{
  "formula": "LiDyO2",
  "functional": "PBE",
  "state": "optimized geometry",
  "lattice_angstrom": [[11.2353, 0.0000, 0.0000], [0.0000, 3.3910, 0.0000], [0.0000, 0.0000, 5.3262]],
  "species": ["Li", "Li", "Li", "Li", "Dy", "Dy", "Dy", "Dy", "O", "O", "O", "O", "O", "O", "O", "O"],
  "fractional_positions": [[0.0670, 0.2500, 0.0977], [0.4330, 0.7500, 0.5977], [0.5670, 0.2500, 0.4023], [0.9330, 0.7500, 0.9023], [0.1405, 0.7500, 0.5470], [0.3595, 0.2500, 0.0470], [0.6405, 0.7500, 0.9530], [0.8595, 0.2500, 0.4530], [0.0263, 0.2500, 0.7412], [0.2065, 0.2500, 0.3102], [0.2935, 0.7500, 0.8102], [0.4737, 0.7500, 0.2412], [0.5263, 0.2500, 0.7588], [0.7065, 0.2500, 0.1898], [0.7935, 0.7500, 0.6898], [0.9737, 0.7500, 0.2588]]
}



[20]
{
  "formula": "LiDyO3",
  "functional": "PBE",
  "state": "optimized geometry",
  "lattice_angstrom": [[3.6737, 0.0000, 0.0000], [0.0000, 3.6737, 0.0000], [0.0000, 0.0000, 3.6737]],
  "species": ["Li", "Dy", "O", "O", "O"],
  "fractional_positions": [[0.0000, 0.0000, 0.0000], [0.5000, 0.5000, 0.5000], [0.0000, 0.0000, 0.5000], [0.0000, 0.5000, 0.0000], [0.5000, 0.0000, 0.0000]]
}



no.,formation energy from raw total energies (eV/atom),calculated volume (Å³ per cell)
1,-1.42,332.0
2,-1.57,242.7
3,-1.56,375.8
4,-1.33,191.1
5,-1.59,284.4
6,-1.43,188.4
7,-1.36,287.5
8,-1.35,282.0
9,-0.87,525.8
10,-0.95,349.9
11,-1.03,233.1
12,-0.91,466.5
13,-1.14,462.7
14,-0.98,468.6
15,-1.16,464.5
16,-0.97,351.2
17,-2.93,212.6
18,-1.67,68.3
19,-2.94,202.9
20,-1.84,49.6